Density functional theory data (GGA-PBE) for Th2CuS2N2 after structural relaxation. Values from VASP.

```
&SYSTEM
  ibrav = 0, nat = 7, ntyp = 4
/
ATOMIC_SPECIES
Th 232.04 Th.upf
Cu 63.55 Cu.upf
S 32.06 S.upf
N 14.01 N.upf
ATOMIC_POSITIONS crystal
Th 0.333 0.667 0.140
Th 0.667 0.333 0.860
Cu 0.000 0.000 0.500
S 0.000 0.000 0.303
S 0.000 0.000 0.697
N 0.333 0.667 0.919
N 0.667 0.333 0.081
CELL_PARAMETERS angstrom
4.072 0.000 0.000
-2.036 3.527 0.000
0.000 0.000 10.706
```



Density functional theory data (GGA-PBE) for ThCuSN after structural relaxation. Values from VASP.

```
&SYSTEM
  ibrav = 0, nat = 8, ntyp = 4
/
ATOMIC_SPECIES
Th 232.04 Th.upf
Cu 63.55 Cu.upf
S 32.06 S.upf
N 14.01 N.upf
ATOMIC_POSITIONS crystal
Th 0.118 0.118 0.118
Th 0.882 0.882 0.882
Cu 0.306 0.306 0.306
Cu 0.694 0.694 0.694
S 0.384 0.384 0.384
S 0.616 0.616 0.616
N 0.196 0.196 0.196
N 0.804 0.804 0.804
CELL_PARAMETERS angstrom
1.985 1.146 10.166
-1.985 1.146 10.166
0.000 -2.292 10.166
```



! TiCuSN2 GGA-PBE relaxed; values from VASP
! Energy above the lowest structure with this stoichiometry = 0.0 meV per atom
&SYSTEM
  ibrav = 0, nat = 5, ntyp = 4
/
ATOMIC_SPECIES
Ti 47.87 Ti.upf
Cu 63.55 Cu.upf
S 32.06 S.upf
N 14.01 N.upf
ATOMIC_POSITIONS crystal
Ti 0.000 0.000 0.000
Cu 0.500 0.500 0.500
S 0.000 0.000 0.500
N 0.000 0.500 0.000
N 0.500 0.000 0.000
CELL_PARAMETERS angstrom
3.775 0.000 0.000
0.000 3.775 0.000
0.000 0.000 5.297



In the order shown, the computed formation energy (no corrections) values come out to -9.2, -5.2, 2.3 eV/f.u..